1.
Computed, not measured: crystalline YCo2Os2 at its relaxed geometry at the PBE-GGA level of DFT.

Unit cell a=7.4601 b=7.4601 c=2.6527 alpha=90.00 beta=90.00 gamma=90.00
Last column: nearest neighbours and their distance in Å.
Positions (direct):
Y 0.0000 0.0000 0.0000  2 Y 2.65
Y 0.5000 0.5000 0.0000  2 Y 2.65
Co 0.1166 0.3834 0.0000  3 Co 2.46-2.65, 6 Os 2.56-2.59
Co 0.3834 0.8834 0.0000  3 Co 2.46-2.65, 6 Os 2.56-2.59
Co 0.6166 0.1166 0.0000  3 Co 2.46-2.65, 6 Os 2.56-2.59
Co 0.8834 0.6166 0.0000  3 Co 2.46-2.65, 6 Os 2.56-2.59
Os 0.1760 0.6760 0.5000  6 Co 2.56-2.59, 2 Os 2.65
Os 0.3240 0.1760 0.5000  6 Co 2.56-2.59, 2 Os 2.65
Os 0.6760 0.8240 0.5000  6 Co 2.56-2.59, 2 Os 2.65
Os 0.8240 0.3240 0.5000  6 Co 2.56-2.59, 2 Os 2.65

=====

2.
Computed, not measured: crystalline YCoOs2 at its relaxed geometry at the PBE-GGA level of DFT.

Unit cell a=4.2037 b=4.2037 c=17.7153 alpha=90.00 beta=90.00 gamma=90.00
Last column: nearest neighbours and their distance in Å.
Positions (direct):
Y 0.0000 0.0000 0.0000  4 Os 2.89, 4 Co 2.97
Y 0.0000 0.5000 0.2500  4 Os 2.89, 4 Co 2.97
Y 0.5000 0.0000 0.7500  4 Os 2.89, 4 Co 2.97
Y 0.5000 0.5000 0.5000  4 Os 2.89, 4 Co 2.97
Co 0.0000 0.0000 0.5000  4 Os 2.52
Co 0.0000 0.5000 0.7500  4 Os 2.52
Co 0.5000 0.0000 0.2500  4 Os 2.52
Co 0.5000 0.5000 0.0000  4 Os 2.52
Os 0.1371 0.2500 0.6250  2 Os 2.40, 2 Co 2.52
Os 0.2500 0.6371 0.8750  2 Os 2.40, 2 Co 2.52
Os 0.2500 0.8629 0.3750  2 Os 2.40, 2 Co 2.52
Os 0.3629 0.2500 0.1250  2 Os 2.40, 2 Co 2.52
Os 0.6371 0.7500 0.1250  2 Os 2.40, 2 Co 2.52
Os 0.7500 0.1371 0.3750  2 Os 2.40, 2 Co 2.52
Os 0.7500 0.3629 0.8750  2 Os 2.40, 2 Co 2.52
Os 0.8629 0.7500 0.6250  2 Os 2.40, 2 Co 2.52

=====

3.
Computed, not measured: crystalline YCo3Os at its relaxed geometry at the PBE-GGA level of DFT.

Unit cell a=4.4871 b=4.4871 c=4.4871 alpha=90.00 beta=90.00 gamma=90.00
Last column: nearest neighbours and their distance in Å.
Positions (direct):
Y 0.0000 0.0000 0.0000  12 Co 3.17
Co 0.0000 0.5000 0.5000  2 Os 2.24
Co 0.5000 0.0000 0.5000  2 Os 2.24
Co 0.5000 0.5000 0.0000  2 Os 2.24
Os 0.5000 0.5000 0.5000  6 Co 2.24

=====

Result set for energy relative to the lowest polymorph listed for this composition: 122 380 0 meV per atom, one per record in the order listed.